No. 1
A plane-wave DFT calculation with PBE was carried out for a geometry-optimized NaHo2ErS4 structure.

Calculated values
Electronic total energy, eV per atom: -5.849

a b c (Å): 6.7749 3.8812 6.7764
angles (deg): 90.00 109.08 90.00
Element x y z (fractional)
1 Na 0.0000 0.0000 0.0000
2 Ho 0.5000 0.0000 0.5000
3 Ho 0.5000 0.5000 0.0000
4 Er 0.0000 0.5000 0.5000
5 S 0.2495 0.0000 0.7480
6 S 0.2548 0.5000 0.2561
7 S 0.7452 0.5000 0.7439
8 S 0.7505 0.0000 0.2520


No. 2
A plane-wave DFT calculation with PBE was carried out for a geometry-optimized Ac2Ga3Ag4Pb structure.

Calculated values
Energy relative to the elements, kJ per mole of atoms: -32

a b c (Å): 4.6142 4.6142 11.2736
angles (deg): 90.00 90.00 90.00
Element x y z (fractional)
1 Ac 0.0000 0.5000 0.2352
2 Ac 0.5000 0.0000 0.7648
3 Ga 0.0000 0.5000 0.8782
4 Ga 0.5000 0.0000 0.1218
5 Ga 0.5000 0.5000 0.5000
6 Ag 0.0000 0.0000 0.0000
7 Ag 0.0000 0.5000 0.6497
8 Ag 0.5000 0.0000 0.3503
9 Ag 0.5000 0.5000 0.0000
10 Pb 0.0000 0.0000 0.5000


No. 3
A plane-wave DFT calculation with PBE was carried out for a geometry-optimized LaFe3Ni structure.

Calculated values
Energy relative to the lowest polymorph listed for this composition, eV/f.u.: 6.941
Energy relative to the elements, kJ per mole of atoms: 182

a b c (Å): 4.5331 4.5331 4.5331
angles (deg): 90.00 90.00 90.00
Element x y z (fractional)
1 La 0.0000 0.0000 0.0000
2 Fe 0.0000 0.0000 0.5000
3 Fe 0.0000 0.5000 0.0000
4 Fe 0.5000 0.0000 0.0000
5 Ni 0.5000 0.5000 0.5000


No. 4
A plane-wave DFT calculation with PBE was carried out for a geometry-optimized Cs3NdAs2O8 structure.

Calculated values
Electronic total energy, eV per atom: -5.997

a b c (Å): 6.1684 6.1684 8.7665
angles (deg): 90.00 90.00 120.00
Element x y z (fractional)
1 Cs 0.0000 0.0000 0.0000
2 Cs 0.3333 0.6667 0.7525
3 Cs 0.6667 0.3333 0.2475
4 Nd 0.0000 0.0000 0.5000
5 As 0.3333 0.6667 0.2767
6 As 0.6667 0.3333 0.7233
7 O 0.1805 0.3610 0.3440
8 O 0.1805 0.8195 0.3440
9 O 0.3333 0.6667 0.0832
10 O 0.3610 0.1805 0.6560
11 O 0.6390 0.8195 0.3440
12 O 0.6667 0.3333 0.9168
13 O 0.8195 0.1805 0.6560
14 O 0.8195 0.6390 0.6560


No. 5
A plane-wave DFT calculation with PBE was carried out for a geometry-optimized La2AlCu2O6 structure.

Calculated values
Electronic total energy, eV per atom: -6.844

a b c (Å): 5.9500 5.9500 5.9500
angles (deg): 57.96 57.96 57.96
Element x y z (fractional)
1 La 0.2154 0.2154 0.2154
2 La 0.7846 0.7846 0.7846
3 Al 0.0000 0.0000 0.0000
4 Cu 0.4145 0.4145 0.4145
5 Cu 0.5855 0.5855 0.5855
6 O 0.2063 0.7699 0.7699
7 O 0.2301 0.2301 0.7937
8 O 0.2301 0.7937 0.2301
9 O 0.7699 0.2063 0.7699
10 O 0.7699 0.7699 0.2063
11 O 0.7937 0.2301 0.2301


No. 6
A plane-wave DFT calculation with PBE was carried out for a geometry-optimized PrNd3Sm5 structure.

Calculated values
Energy relative to the lowest polymorph listed for this composition, eV/f.u.: 0.000
Energy relative to the elements, kJ per mole of atoms: 27

a b c (Å): 10.8355 10.8355 11.7017
angles (deg): 120.51 120.51 33.29
Element x y z (fractional)
1 Pr 0.1073 0.8927 0.7500
2 Pr 0.8927 0.1073 0.2500
3 Nd 0.0000 0.0000 0.0000
4 Nd 0.0000 0.0000 0.5000
5 Nd 0.0415 0.5958 0.4668
6 Nd 0.4042 0.9585 0.0332
7 Nd 0.5958 0.0415 0.9668
8 Nd 0.9585 0.4042 0.5332
9 Sm 0.0255 0.6163 0.1621
10 Sm 0.1770 0.5426 0.8557
11 Sm 0.3837 0.9745 0.3379
12 Sm 0.4100 0.5900 0.2500
13 Sm 0.4574 0.8230 0.6443
14 Sm 0.5426 0.1770 0.3557
15 Sm 0.5900 0.4100 0.7500
16 Sm 0.6163 0.0255 0.6621
17 Sm 0.8230 0.4574 0.1443
18 Sm 0.9745 0.3837 0.8379